No. 1
Below is a relaxed structure of SrTl2Ag, with properties calculated at the PBEsol level.

Cell: 5.9284 5.9284 5.9284 Å, 140.35 124.68 70.19°
With the nearest neighbours (Å) after each atom.
Element x y z (fractional)
Sr: 0.0000 0.0000 0.0000  8 Tl 3.39-3.48, 4 Ag 3.41
Tl: 0.2813 0.7813 0.5000  2 Ag 2.92
Tl: 0.7187 0.2187 0.5000  2 Ag 2.92
Ag: 0.5000 0.5000 0.0000  4 Tl 2.92

Properties
crystal system	orthorhombic
DOS at the Fermi energy	1.6	states/eV per cell
E_tot	-2.8042	eV/atom
size of the total moment	0.00	Bohr magnetons per cell
calculated density	9.35	g cm⁻³

No. 2
Below is a relaxed structure of SrTl2Ag, with properties calculated at the PBEsol level.

Cell: 5.2672 5.2672 5.2672 Å, 60.00 60.00 60.00°
With the nearest neighbours (Å) after each atom.
Element x y z (fractional)
Sr: 0.0000 0.0000 0.0000  4 Tl 3.23, 4 Ag 3.23
Tl: 0.2500 0.2500 0.2500  4 Tl 3.23, 4 Sr 3.23
Tl: 0.5000 0.5000 0.5000  4 Tl 3.23, 4 Ag 3.23
Ag: 0.7500 0.7500 0.7500  4 Tl 3.23, 4 Sr 3.23

Properties
crystal system	cubic
DOS at the Fermi energy	1.7	states/eV per cell
E_tot	-2.8042	eV/atom
size of the total moment	0.00	Bohr magnetons per cell
calculated density	9.71	g cm⁻³

No. 3
Below is a relaxed structure of SrTl2Ag, with properties calculated at the PBEsol level.

Cell: 4.6223 6.4932 6.4932 Å, 34.61 90.00 90.00°
With the nearest neighbours (Å) after each atom.
Element x y z (fractional)
Sr: 0.0000 0.0000 0.0000  4 Ag 3.25, 7 Tl 3.31-3.62
Tl: 0.0000 0.7327 0.7327  2 Ag 2.85
Tl: 0.5000 0.3383 0.3383  3 Ag 3.23-3.54, 4 Tl 3.28
Ag: 0.5000 0.5986 0.5986  2 Tl 2.85

Properties
crystal system	orthorhombic
DOS at the Fermi energy	2.1	states/eV per cell
E_tot	-2.7587	eV/atom
size of the total moment	0.00	Bohr magnetons per cell
calculated density	9.06	g cm⁻³